# TbYGeRh, relaxed, DFT PBE
data_TbYGeRh
_space_group_name_H-M_alt 'F -4 3 m'
_space_group_IT_number 216
_space_group_name_Hall 'F -4 2 3'
_cell_length_a 7.0252
_cell_length_b 7.0252
_cell_length_c 7.0252
_cell_angle_alpha 90.00
_cell_angle_beta 90.00
_cell_angle_gamma 90.00
loop_
_atom_site_label
_atom_site_fract_x
_atom_site_fract_y
_atom_site_fract_z
_atom_site_occupancy
Tb1 0.0000 0.0000 0.0000 1
Y1 0.0000 0.0000 0.5000 1
Ge1 0.2500 0.2500 0.7500 1
Rh1 0.2500 0.2500 0.2500 1
# - calculated volume (A^3/atom) = 21.67
# - formation enthalpy at 0 K (eV/f.u.) = -2.92
# - M_tot (μB/atom) = 0.000

---

# AlInRh4, relaxed, DFT PBE
data_AlInRh4
_space_group_name_H-M_alt 'F -4 3 m'
_space_group_IT_number 216
_space_group_name_Hall 'F -4 2 3'
_cell_length_a 7.3094
_cell_length_b 7.3094
_cell_length_c 7.3094
_cell_angle_alpha 90.00
_cell_angle_beta 90.00
_cell_angle_gamma 90.00
loop_
_atom_site_label
_atom_site_fract_x
_atom_site_fract_y
_atom_site_fract_z
_atom_site_occupancy
Al1 0.0000 0.0000 0.0000 1
In1 0.2500 0.2500 0.2500 1
Rh1 0.1252 0.1252 0.6252 1
# - calculated volume (A^3/atom) = 16.27
# - formation enthalpy at 0 K (eV/f.u.) = -0.11
# - M_tot (μB/atom) = 0.000

---

# Dy3AlPd2, relaxed, DFT PBE
data_Dy3AlPd2
_space_group_name_H-M_alt 'P 4/m m m'
_space_group_IT_number 123
_space_group_name_Hall '-P 4 2'
_cell_length_a 3.5084
_cell_length_b 3.5084
_cell_length_c 10.8572
_cell_angle_alpha 90.00
_cell_angle_beta 90.00
_cell_angle_gamma 90.00
loop_
_atom_site_label
_atom_site_fract_x
_atom_site_fract_y
_atom_site_fract_z
_atom_site_occupancy
Dy1 0.0000 0.0000 0.0000 1
Dy2 0.0000 0.0000 0.3237 1
Al1 0.5000 0.5000 0.5000 1
Pd1 0.5000 0.5000 0.1652 1
# - calculated volume (A^3/atom) = 22.27
# - formation enthalpy at 0 K (eV/f.u.) = -4.34
# - M_tot (μB/atom) = 0.000

---

# CePmRu2, relaxed, DFT PBE
data_CePmRu2
_space_group_name_H-M_alt 'F m -3 m'
_space_group_IT_number 225
_space_group_name_Hall '-F 4 2 3'
_cell_length_a 6.9476
_cell_length_b 6.9476
_cell_length_c 6.9476
_cell_angle_alpha 90.00
_cell_angle_beta 90.00
_cell_angle_gamma 90.00
loop_
_atom_site_label
_atom_site_fract_x
_atom_site_fract_y
_atom_site_fract_z
_atom_site_occupancy
Ce1 0.0000 0.0000 0.0000 1
Pm1 0.0000 0.0000 0.5000 1
Ru1 0.2500 0.2500 0.2500 1
# - calculated volume (A^3/atom) = 20.96
# - formation enthalpy at 0 K (eV/f.u.) = -0.92
# - M_tot (μB/atom) = 0.000

---

Number 1: Fermi-level density of states 7.45 states/eV per cell. Number 2: Fermi-level density of states 18.20 states/eV per cell. Number 3: Fermi-level density of states 4.33 states/eV per cell. Number 4: Fermi-level density of states 10.82 states/eV per cell.